## SiGeSb2I (PBE)

Data for a geometry-optimized SiGeSb2I structure.

Output
VASP energy, eV per atom: -3.24
Spin magnetization, μB per formula unit: 0.0
Energy relative to the elements, uncorrected, eV/f.u.: 3.657

Cell: 5.2857 5.2857 5.3726 Å, 90.00 90.00 90.00°
With the nearest neighbours (Å) after each atom.
Space group P4/mmm (No. 123)
Asymmetric unit:
Si  0.0000  0.0000  0.0000 (multiplicity 1)  4 Sb 2.64, 2 I 2.69
Ge  0.5000  0.5000  0.5000 (multiplicity 1)  4 I 3.74, 8 Sb 3.77
Sb  0.0000  0.5000  0.0000 (multiplicity 2)  2 Si 2.64
I  0.0000  0.0000  0.5000 (multiplicity 1)  2 Si 2.69

## SiGeSbI2 (PBE)

Data for a geometry-optimized SiGeSbI2 structure.

Output
VASP energy, eV per atom: -2.67
Spin magnetization, μB per formula unit: 0.0
Energy relative to the elements, uncorrected, eV/f.u.: 3.919

Cell: 5.5360 5.5360 5.6368 Å, 90.00 90.00 90.00°
With the nearest neighbours (Å) after each atom.
Space group P4/mmm (No. 123)
Asymmetric unit:
Si  0.0000  0.0000  0.0000 (multiplicity 1)  4 Sb 3.91, 8 I 3.95
Ge  0.5000  0.5000  0.5000 (multiplicity 1)  4 I 2.77, 2 Sb 2.82
Sb  0.5000  0.5000  0.0000 (multiplicity 1)  2 Ge 2.82
I  0.0000  0.5000  0.5000 (multiplicity 2)  2 Ge 2.77

## SiGeSb2I (PBE)

Data for a geometry-optimized SiGeSb2I structure.

Output
VASP energy, eV per atom: -3.03
Spin magnetization, μB per formula unit: 0.0
Energy relative to the elements, uncorrected, eV/f.u.: 4.681

Cell: 5.4011 5.4011 5.4903 Å, 90.00 90.00 90.00°
With the nearest neighbours (Å) after each atom.
Space group P4/mmm (No. 123)
Asymmetric unit:
Si  0.0000  0.0000  0.0000 (multiplicity 1)  4 I 3.82, 8 Sb 3.85
Ge  0.5000  0.5000  0.5000 (multiplicity 1)  4 Sb 2.70, 2 I 2.75
Sb  0.0000  0.5000  0.5000 (multiplicity 2)  2 Ge 2.70
I  0.5000  0.5000  0.0000 (multiplicity 1)  2 Ge 2.75

## SiGe2SbI (PBE)

Data for a geometry-optimized SiGe2SbI structure.

Output
VASP energy, eV per atom: -2.80
Spin magnetization, μB per formula unit: 0.0
Energy relative to the elements, uncorrected, eV/f.u.: 6.314

Cell: 5.4572 5.4572 5.3201 Å, 90.00 90.00 90.00°
With the nearest neighbours (Å) after each atom.
Space group P4/mmm (No. 123)
Asymmetric unit:
Si  0.0000  0.0000  0.0000 (multiplicity 1)  2 I 2.66
Ge  0.0000  0.5000  0.5000 (multiplicity 2)  2 I 2.73
Sb  0.5000  0.5000  0.0000 (multiplicity 1)  8 Ge 3.81, 4 Si 3.86
I  0.0000  0.0000  0.5000 (multiplicity 1)  2 Si 2.66, 4 Ge 2.73

## SiGeSbI2 (PBE)

Data for a geometry-optimized SiGeSbI2 structure.

Output
VASP energy, eV per atom: -2.84
Spin magnetization, μB per formula unit: 0.0
Energy relative to the elements, uncorrected, eV/f.u.: 3.074

Cell: 5.3907 5.3907 5.5346 Å, 90.00 90.00 90.00°
With the nearest neighbours (Å) after each atom.
Space group P4/mmm (No. 123)
Asymmetric unit:
Si  0.0000  0.0000  0.0000 (multiplicity 1)  4 I 2.70, 2 Sb 2.77
Ge  0.5000  0.5000  0.5000 (multiplicity 1)  4 Sb 3.81, 8 I 3.86
Sb  0.0000  0.0000  0.5000 (multiplicity 1)  2 Si 2.77
I  0.0000  0.5000  0.0000 (multiplicity 2)  2 Si 2.70

## TaGeSbI2 (PBE)

Data for a geometry-optimized TaGeSbI2 structure.

Output
VASP energy, eV per atom: -3.46
Spin magnetization, μB per formula unit: 2.4
Energy relative to the elements, uncorrected, eV/f.u.: 6.395

Cell: 5.4361 5.4361 5.5174 Å, 90.00 90.00 90.00°
With the nearest neighbours (Å) after each atom.
Space group P4/mmm (No. 123)
Asymmetric unit:
Ta  0.0000  0.0000  0.0000 (multiplicity 1)  4 Sb 3.84, 8 I 3.87
Ge  0.5000  0.5000  0.5000 (multiplicity 1)  4 I 2.72, 2 Sb 2.76
Sb  0.5000  0.5000  0.0000 (multiplicity 1)  2 Ge 2.76
I  0.0000  0.5000  0.5000 (multiplicity 2)  2 Ge 2.72